Density functional theory data (PBE-GGA) for an optimized crystal structure of Tb2NdFe.

Cell and atoms, written as POSCAR:
```
Tb2NdFe
1.0
3.505 0.000 0.000
-1.752 3.035 0.000
0.000 0.000 32.158
Tb Nd Fe
6 3 3
direct
0.000 0.000 0.109 Tb
0.000 0.000 0.891 Tb
0.333 0.667 0.557 Tb
0.333 0.667 0.776 Tb
0.667 0.333 0.224 Tb
0.667 0.333 0.443 Tb
0.000 0.000 0.000 Nd
0.333 0.667 0.667 Nd
0.667 0.333 0.333 Nd
0.000 0.000 0.500 Fe
0.333 0.667 0.167 Fe
0.667 0.333 0.833 Fe
```

DOS at the Fermi energy   1.2749 states/eV/atom
DFT total energy   -63.7 eV per cell
Symmetry   R-3m, No. 166

Density functional theory data (PBE-GGA) for an optimized crystal structure of GeMoSe3.

Cell and atoms, written as POSCAR:
```
GeMoSe3
1.0
4.956 0.000 0.000
0.000 4.956 0.000
0.000 0.000 4.956
Ge Mo Se
1 1 3
direct
0.000 0.000 0.000 Ge
0.500 0.500 0.500 Mo
0.000 0.500 0.500 Se
0.500 0.000 0.500 Se
0.500 0.500 0.000 Se
```

DOS at the Fermi energy   1.2481 states/eV/atom
E_form (uncorrected)   0.33 eV/atom
Symmetry   Pm-3m, No. 221

Density functional theory data (PBE-GGA) for an optimized crystal structure of NbVB4.

Cell and atoms, written as POSCAR:
```
NbVB4
1.0
3.066 0.000 0.000
-1.533 2.655 0.000
0.000 0.000 6.353
Nb V B
1 1 4
direct
0.000 0.000 0.000 Nb
0.000 0.000 0.500 V
0.333 0.667 0.266 B
0.333 0.667 0.734 B
0.667 0.333 0.266 B
0.667 0.333 0.734 B
```

DOS at the Fermi energy   0.4722 states/eV/atom
DFT total energy   -50.1 eV per cell
Symmetry   P6/mmm, No. 191

Density functional theory data (PBE-GGA) for an optimized crystal structure of Mn4AlNi15.

Cell and atoms, written as POSCAR:
```
Mn4AlNi15
1.0
3.568 0.000 0.000
0.000 3.568 0.000
0.000 0.000 17.781
Mn Al Ni
4 1 15
direct
0.000 0.000 0.100 Mn
0.000 0.000 0.301 Mn
0.000 0.000 0.699 Mn
0.000 0.000 0.900 Mn
0.000 0.000 0.500 Al
0.000 0.500 0.000 Ni
0.000 0.500 0.200 Ni
0.000 0.500 0.400 Ni
0.000 0.500 0.600 Ni
0.000 0.500 0.800 Ni
0.500 0.000 0.000 Ni
0.500 0.000 0.200 Ni
0.500 0.000 0.400 Ni
0.500 0.000 0.600 Ni
0.500 0.000 0.800 Ni
0.500 0.500 0.100 Ni
0.500 0.500 0.301 Ni
0.500 0.500 0.500 Ni
0.500 0.500 0.699 Ni
0.500 0.500 0.900 Ni
```

DOS at the Fermi energy   1.0194 states/eV/atom
DFT total energy   -130.5 eV per cell
Symmetry   P4/mmm, No. 123

Density functional theory data (PBE-GGA) for an optimized crystal structure of TlCdPb2.

Cell and atoms, written as POSCAR:
```
TlCdPb2
1.0
3.454 0.000 0.000
0.000 5.114 0.000
-0.683 0.000 6.694
Tl Cd Pb
1 1 2
direct
0.000 0.000 0.000 Tl
0.470 0.500 0.234 Cd
0.453 0.500 0.736 Pb
0.916 0.000 0.486 Pb
```

DOS at the Fermi energy   0.5529 states/eV/atom
DFT total energy   -10.6 eV per cell
Symmetry   Pm, No. 6

Density functional theory data (PBE-GGA) for an optimized crystal structure of La2Ho5In.

Cell and atoms, written as POSCAR:
```
La2Ho5In
1.0
6.699 0.000 0.000
-2.888 6.048 0.000
-1.848 -3.055 6.189
La Ho In
2 5 1
direct
0.000 0.000 0.000 La
0.110 0.572 0.683 La
0.090 0.590 0.176 Ho
0.515 0.519 0.512 Ho
0.572 0.110 0.684 Ho
0.586 0.086 0.176 Ho
0.993 0.997 0.512 Ho
0.521 0.515 0.035 In
```

DOS at the Fermi energy   1.3159 states/eV/atom
DFT total energy   -36.2 eV per cell
Symmetry   P1, No. 1

Density functional theory data (PBE-GGA) for an optimized crystal structure of La3HgN.

Cell and atoms, written as POSCAR:
```
La3HgN
1.0
4.274 0.000 0.000
-2.137 3.701 0.000
0.000 0.000 19.006
La Hg N
6 2 2
direct
0.000 0.000 0.250 La
0.000 0.000 0.750 La
0.333 0.667 0.117 La
0.333 0.667 0.383 La
0.667 0.333 0.617 La
0.667 0.333 0.883 La
0.000 0.000 0.000 Hg
0.000 0.000 0.500 Hg
0.333 0.667 0.250 N
0.667 0.333 0.750 N
```

DOS at the Fermi energy   1.2225 states/eV/atom
E_form (uncorrected)   -0.61 eV/atom
Symmetry   P6_3/mmc, No. 194

Density functional theory data (PBE-GGA) for an optimized crystal structure of Tm12TlCo6.

Cell and atoms, written as POSCAR:
```
Tm12TlCo6
1.0
-4.756 4.756 4.756
4.756 -4.756 4.756
4.756 4.756 -4.756
Tm Tl Co
12 1 6
direct
0.108 0.302 0.806 Tm
0.194 0.496 0.302 Tm
0.194 0.892 0.698 Tm
0.302 0.194 0.496 Tm
0.302 0.806 0.108 Tm
0.496 0.302 0.194 Tm
0.504 0.698 0.806 Tm
0.698 0.194 0.892 Tm
0.698 0.806 0.504 Tm
0.806 0.108 0.302 Tm
0.806 0.504 0.698 Tm
0.892 0.698 0.194 Tm
0.000 0.000 0.000 Tl
0.114 0.500 0.614 Co
0.386 0.886 0.500 Co
0.500 0.386 0.886 Co
0.500 0.614 0.114 Co
0.614 0.114 0.500 Co
0.886 0.500 0.386 Co
```

DOS at the Fermi energy   0.7538 states/eV/atom
DFT total energy   -103.8 eV per cell
Symmetry   Im-3, No. 204

Density functional theory data (PBE-GGA) for an optimized crystal structure of Pm2B6Os3.

Cell and atoms, written as POSCAR:
```
Pm2B6Os3
1.0
4.040 -4.510 0.000
4.040 4.510 0.000
0.000 0.000 3.754
Pm B Os
2 6 3
direct
0.220 0.780 0.000 Pm
0.780 0.220 0.000 Pm
0.111 0.414 0.500 B
0.112 0.112 0.500 B
0.414 0.111 0.500 B
0.586 0.889 0.500 B
0.888 0.888 0.500 B
0.889 0.586 0.500 B
0.276 0.276 0.000 Os
0.500 0.500 0.500 Os
0.724 0.724 0.000 Os
```

DOS at the Fermi energy   0.4669 states/eV/atom
DFT total energy   -86.9 eV per cell
Symmetry   Cmmm, No. 65

Density functional theory data (PBE-GGA) for an optimized crystal structure of MnCd2Pb.

Cell and atoms, written as POSCAR:
```
MnCd2Pb
1.0
4.309 0.000 0.000
0.000 4.309 0.000
0.000 0.000 4.802
Mn Cd Pb
1 2 1
direct
0.000 0.000 0.000 Mn
0.000 0.500 0.500 Cd
0.500 0.000 0.500 Cd
0.500 0.500 0.000 Pb
```

DOS at the Fermi energy   0.5234 states/eV/atom
DFT total energy   -13.7 eV per cell
Symmetry   P4/mmm, No. 123

Density functional theory data (PBE-GGA) for an optimized crystal structure of Pr3Sm4Ho5.

Cell and atoms, written as POSCAR:
```
Pr3Sm4Ho5
1.0
8.067 -2.996 0.000
8.067 2.996 0.000
-4.131 0.000 8.417
Pr Sm Ho
3 4 5
direct
0.000 0.000 0.000 Pr
0.290 0.290 0.767 Pr
0.710 0.710 0.233 Pr
0.291 0.291 0.120 Sm
0.416 0.416 0.555 Sm
0.584 0.584 0.445 Sm
0.709 0.709 0.880 Sm
0.072 0.072 0.696 Ho
0.172 0.172 0.387 Ho
0.500 0.500 0.000 Ho
0.828 0.828 0.613 Ho
0.928 0.928 0.304 Ho
```

DOS at the Fermi energy   1.5818 states/eV/atom
DFT total energy   -53.4 eV per cell
Symmetry   C2/m, No. 12

Density functional theory data (PBE-GGA) for an optimized crystal structure of Sm2AlTe4.

Cell and atoms, written as POSCAR:
```
Sm2AlTe4
1.0
15.614 0.000 0.000
0.000 4.311 0.000
-3.714 0.000 6.658
Sm Al Te
4 2 8
direct
0.245 0.000 0.231 Sm
0.255 0.500 0.769 Sm
0.745 0.500 0.231 Sm
0.755 0.000 0.769 Sm
0.000 0.500 0.500 Al
0.500 0.000 0.500 Al
0.107 0.500 0.935 Te
0.114 0.000 0.449 Te
0.386 0.500 0.551 Te
0.393 0.000 0.065 Te
0.607 0.000 0.935 Te
0.614 0.500 0.449 Te
0.886 0.000 0.551 Te
0.893 0.500 0.065 Te
```

DOS at the Fermi energy   0.4291 states/eV/atom
E_form (uncorrected)   -1.01 eV/atom
Symmetry   C2/m, No. 12